Record 1
Density functional theory data (GGA-PBE) for a geometry-optimized BaIn2W structure.

total moment: 0.000 μB/atom
E: -4.628 eV/atom
density: 7.95 Mg/m³

Cell: 8.1790 8.1790 8.1790 Å, 158.05 145.70 41.09°
Fractional positions:
Ba (0.0000, 0.0000, 0.0000)
In (0.3552, 0.3552, 0.0000)
In (0.6903, 0.1903, 0.5000)
W (0.2006, 0.7006, 0.5000)



Record 2
Density functional theory data (GGA-PBE) for a geometry-optimized BaIn2W structure.

total moment: 0.053 μB/atom
E: -4.252 eV/atom
density: 9.15 Mg/m³

Cell: 5.7394 5.7394 3.1581 Å, 90.00 90.00 105.97°
Fractional positions:
Ba (0.0000, 0.0000, 0.0000)
In (0.0000, 0.5000, 0.5000)
In (0.5000, 0.0000, 0.5000)
W (0.5000, 0.5000, 0.0000)



Record 3
Density functional theory data (GGA-PBE) for a geometry-optimized Ba2InW structure.

total moment: 0.000 μB/atom
E: -4.081 eV/atom
density: 7.25 Mg/m³

Cell: 3.5264 5.1438 7.4480 Å, 90.00 103.44 90.00°
Fractional positions:
Ba (0.0000, 0.0000, 0.0000)
Ba (0.3029, 0.5000, 0.6174)
In (0.6035, 0.5000, 0.2111)
W (0.6946, 0.0000, 0.3973)



Record 4
Density functional theory data (GGA-PBE) for a geometry-optimized BaIn2W structure.

total moment: 0.000 μB/atom
E: -4.470 eV/atom
density: 8.16 Mg/m³

Cell: 3.2692 4.1912 8.1763 Å, 90.00 90.00 90.00°
Fractional positions:
Ba (0.0000, 0.0000, 0.0000)
In (0.0000, 0.0000, 0.5773)
In (0.5000, 0.5000, 0.3359)
W (0.5000, 0.5000, 0.6944)



Record 5
Density functional theory data (GGA-PBE) for a geometry-optimized BaIn2W structure.

total moment: 0.718 μB/atom
E: -4.188 eV/atom
density: 8.23 Mg/m³

Cell: 4.7549 4.7549 4.9131 Å, 90.00 90.00 90.00°
Fractional positions:
Ba (0.0000, 0.0000, 0.0000)
In (0.0000, 0.5000, 0.5000)
In (0.5000, 0.0000, 0.5000)
W (0.5000, 0.5000, 0.0000)



Record 6
Density functional theory data (GGA-PBE) for a geometry-optimized BaIn2W structure.

total moment: 0.000 μB/atom
E: -4.395 eV/atom
density: 8.98 Mg/m³

Cell: 3.1459 3.1459 10.2987 Å, 90.00 90.00 92.84°
Fractional positions:
Ba (0.0000, 0.0000, 0.0000)
In (0.0000, 0.0000, 0.5444)
In (0.5000, 0.5000, 0.3026)
W (0.5000, 0.5000, 0.7392)



Record 7
Density functional theory data (GGA-PBE) for a geometry-optimized BaInW structure.

total moment: 0.001 μB/atom
E: -4.796 eV/atom
density: 9.32 Mg/m³

Cell: 5.3678 5.3678 3.1126 Å, 90.00 90.00 120.00°
Fractional positions:
Ba (0.0000, 0.0000, 0.0000)
In (0.6667, 0.3333, 0.5000)
W (0.3333, 0.6667, 0.5000)



Record 8
Density functional theory data (GGA-PBE) for a geometry-optimized BaInW structure.

total moment: 1.079 μB/atom
E: -4.017 eV/atom
density: 6.60 Mg/m³

Cell: 5.3743 5.3743 5.3743 Å, 60.00 60.00 60.00°
Fractional positions:
Ba (0.0000, 0.0000, 0.0000)
In (0.7500, 0.7500, 0.7500)
W (0.2500, 0.2500, 0.2500)



Record 9
Density functional theory data (GGA-PBE) for a geometry-optimized BaInW structure.

total moment: 0.000 μB/atom
E: -4.996 eV/atom
density: 9.65 Mg/m³

Cell: 8.2090 8.2078 3.0796 Å, 79.21 79.17 21.62°
Fractional positions:
Ba (0.0000, 0.0000, 0.0000)
In (0.6915, 0.6915, 0.3085)
W (0.3245, 0.3245, 0.6755)



Record 10
Density functional theory data (GGA-PBE) for a geometry-optimized BaInW2 structure.

total moment: 0.000 μB/atom
E: -6.134 eV/atom
density: 11.47 Mg/m³

Cell: 5.9342 5.9342 2.8701 Å, 90.00 90.00 117.38°
Fractional positions:
Ba (0.0000, 0.0000, 0.0000)
In (0.5000, 0.5000, 0.0000)
W (0.0000, 0.5000, 0.5000)
W (0.5000, 0.0000, 0.5000)



Record 11
Density functional theory data (GGA-PBE) for a geometry-optimized BaInW structure.

total moment: 1.004 μB/atom
E: -4.610 eV/atom
density: 7.48 Mg/m³

Cell: 5.1539 5.1539 5.1539 Å, 60.00 60.00 60.00°
Fractional positions:
Ba (0.0000, 0.0000, 0.0000)
In (0.5000, 0.5000, 0.5000)
W (0.2500, 0.2500, 0.2500)



Record 12
Density functional theory data (GGA-PBE) for a geometry-optimized BaInW2 structure.

total moment: 0.000 μB/atom
E: -6.058 eV/atom
density: 11.30 Mg/m³

Cell: 5.7336 5.7336 5.7336 Å, 135.57 135.57 64.65°
Fractional positions:
Ba (0.0000, 0.0000, 0.0000)
In (0.5000, 0.5000, 0.0000)
W (0.2500, 0.7500, 0.5000)
W (0.7500, 0.2500, 0.5000)



Record 13
Density functional theory data (GGA-PBE) for a geometry-optimized BaInW4 structure.

total moment: 0.000 μB/atom
E: -8.467 eV/atom
density: 13.20 Mg/m³

Cell: 5.6010 5.6010 5.6010 Å, 60.00 60.00 60.00°
Fractional positions:
Ba (0.0000, 0.0000, 0.0000)
In (0.7500, 0.7500, 0.7500)
W (0.3740, 0.3740, 0.3740)
W (0.3740, 0.3740, 0.8779)
W (0.3740, 0.8779, 0.3740)
W (0.8779, 0.3740, 0.3740)



Record 14
Density functional theory data (GGA-PBE) for a geometry-optimized BaIn2W structure.

total moment: 0.050 μB/atom
E: -4.231 eV/atom
density: 9.21 Mg/m³

Cell: 5.7104 5.7104 3.0453 Å, 90.00 90.00 90.00°
Fractional positions:
Ba (0.0000, 0.0000, 0.0000)
In (0.0000, 0.5000, 0.5000)
In (0.5000, 0.0000, 0.5000)
W (0.5000, 0.5000, 0.0000)



Record 15
Density functional theory data (GGA-PBE) for a geometry-optimized BaInW2 structure.

total moment: 0.000 μB/atom
E: -6.430 eV/atom
density: 11.72 Mg/m³

Cell: 2.9227 2.9227 10.4131 Å, 90.00 90.00 99.10°
Fractional positions:
Ba (0.0000, 0.0000, 0.0000)
In (0.0000, 0.0000, 0.5000)
W (0.5000, 0.5000, 0.2860)
W (0.5000, 0.5000, 0.7140)



Record 16
Density functional theory data (GGA-PBE) for a geometry-optimized BaInW2 structure.

total moment: 0.000 μB/atom
E: -6.658 eV/atom
density: 10.28 Mg/m³

Cell: 6.3473 6.3473 6.3473 Å, 149.28 129.42 60.35°
Fractional positions:
Ba (0.0000, 0.0000, 0.0000)
In (0.2930, 0.7930, 0.5000)
W (0.5608, 0.5608, 0.0000)
W (0.7225, 0.2225, 0.5000)



Record 17
Density functional theory data (GGA-PBE) for a geometry-optimized BaInW2 structure.

total moment: 0.000 μB/atom
E: -6.905 eV/atom
density: 9.99 Mg/m³

Cell: 4.6079 4.6079 7.5843 Å, 96.31 96.31 40.12°
Fractional positions:
Ba (0.0000, 0.0000, 0.0000)
In (0.7587, 0.7587, 0.3424)
W (0.2265, 0.2265, 0.6755)
W (0.5021, 0.5021, 0.5531)



Record 18
Density functional theory data (GGA-PBE) for a geometry-optimized Ba2InW structure.

total moment: 0.395 μB/atom
E: -4.150 eV/atom
density: 7.01 Mg/m³

Cell: 6.7211 6.7211 6.7211 Å, 143.83 129.90 63.34°
Fractional positions:
Ba (0.0000, 0.0000, 0.0000)
Ba (0.6987, 0.1987, 0.5000)
In (0.2796, 0.7796, 0.5000)
W (0.4368, 0.4368, 0.0000)



Record 19
Density functional theory data (GGA-PBE) for a geometry-optimized Ba2InW structure.

total moment: 1.122 μB/atom
E: -4.000 eV/atom
density: 7.47 Mg/m³

Cell: 5.6499 5.6499 5.6499 Å, 60.00 60.00 60.00°
Fractional positions:
Ba (0.0000, 0.0000, 0.0000)
Ba (0.2500, 0.2500, 0.2500)
In (0.5000, 0.5000, 0.5000)
W (0.7500, 0.7500, 0.7500)



Record 20
Density functional theory data (GGA-PBE) for a geometry-optimized Ba2InW structure.

total moment: 0.000 μB/atom
E: -4.255 eV/atom
density: 6.73 Mg/m³

Cell: 3.8354 3.8354 9.6136 Å, 90.00 90.00 90.00°
Fractional positions:
Ba (0.0000, 0.0000, 0.0000)
Ba (0.5000, 0.5000, 0.4148)
In (0.0000, 0.0000, 0.6598)
W (0.5000, 0.5000, 0.7462)